# 1
Below is a relaxed LiHo7Al4 crystal, with properties calculated at the PBE level.

Properties
Total magnetic moment, μB per formula unit: 0.0
Formation energy from the elements, eV/atom: -0.056

Cell: 5.387 9.022 7.361 Å, 79.16 68.54 72.63°
Fractional coordinates of all 12 atoms:
Ho: 0.935 0.365 0.766
Ho: 0.065 0.635 0.234
Al: 0.445 0.769 0.340
Ho: 0.500 0.000 0.000
Al: 0.316 0.334 0.035
Li: 0.000 0.000 0.000
Ho: 0.783 0.879 0.555
Al: 0.555 0.231 0.660
Al: 0.684 0.666 0.965
Ho: 0.681 0.377 0.262
Ho: 0.319 0.623 0.738
Ho: 0.217 0.121 0.445

---

# 2
Below is a relaxed LiHo2Al crystal, with properties calculated at the PBE level.

Properties
Total magnetic moment, μB per formula unit: 0.0
Formation energy from the elements, eV/atom: -0.210

Cell: 5.129 5.129 5.129 Å, 60.00 60.00 60.00°
Fractional coordinates of all 4 atoms:
Al: 0.000 0.000 0.000
Ho: 0.750 0.750 0.750
Ho: 0.250 0.250 0.250
Li: 0.500 0.500 0.500

---

# 3
Below is a relaxed LiHo4Al2 crystal, with properties calculated at the PBE level.

Properties
Total magnetic moment, μB per formula unit: 0.0
Formation energy from the elements, eV/atom: -0.045

Cell: 7.056 6.299 8.942 Å, 90.00 114.09 90.00°
Fractional coordinates of all 14 atoms:
Li: 0.793 0.250 0.846
Al: 0.797 0.750 0.054
Li: 0.207 0.750 0.154
Ho: 0.577 0.490 0.222
Al: 0.469 0.250 0.500
Ho: 0.033 0.250 0.209
Ho: 0.049 0.750 0.431
Ho: 0.951 0.250 0.569
Ho: 0.967 0.750 0.791
Al: 0.203 0.250 0.946
Ho: 0.577 0.010 0.222
Ho: 0.423 0.510 0.778
Ho: 0.423 0.990 0.778
Al: 0.531 0.750 0.500

---

# 4
Below is a relaxed LiHo3Al2 crystal, with properties calculated at the PBE level.

Properties
Total magnetic moment, μB per formula unit: 0.0
Formation energy from the elements, eV/atom: -0.282

Cell: 5.100 5.100 12.530 Å, 90.00 90.00 120.00°
Fractional coordinates of all 12 atoms:
Ho: 0.333 0.667 0.416
Li: 0.333 0.667 0.670
Ho: 0.667 0.333 0.584
Al: 0.333 0.667 0.172
Ho: 0.667 0.333 0.082
Al: 0.000 0.000 0.500
Ho: 0.000 0.000 0.247
Ho: 0.000 0.000 0.753
Li: 0.667 0.333 0.330
Al: 0.000 0.000 0.000
Al: 0.667 0.333 0.828
Ho: 0.333 0.667 0.918

---

# 5
Below is a relaxed LiHo3Al8 crystal, with properties calculated at the PBE level.

Properties
Total magnetic moment, μB per formula unit: 0.0
Formation energy from the elements, eV/atom: -0.396

Cell: 5.507 5.507 9.548 Å, 73.24 73.24 60.00°
Fractional coordinates of all 12 atoms:
Al: 0.939 0.437 0.186
Al: 0.437 0.939 0.186
Li: 0.874 0.874 0.377
Al: 0.437 0.437 0.186
Al: 0.938 0.938 0.687
Ho: 0.375 0.375 0.876
Al: 0.938 0.437 0.687
Al: 0.188 0.188 0.436
Al: 0.687 0.687 0.938
Ho: 0.502 0.502 0.493
Al: 0.437 0.938 0.687
Ho: 0.997 0.997 0.010

---

# 6
Below is a relaxed LiHo4Al2 crystal, with properties calculated at the PBE level.

Properties
Total magnetic moment, μB per formula unit: 0.0
Formation energy from the elements, eV/atom: -0.140

Cell: 5.097 5.097 8.667 Å, 72.90 72.90 60.00°
Fractional coordinates of all 7 atoms:
Ho: 0.870 0.870 0.389
Ho: 0.382 0.382 0.853
Al: 0.745 0.745 0.766
Li: 0.000 0.000 0.000
Al: 0.255 0.255 0.234
Ho: 0.130 0.130 0.611
Ho: 0.618 0.618 0.147

---

# 7
Below is a relaxed LiHo5Al4 crystal, with properties calculated at the PBE level.

Properties
Total magnetic moment, μB per formula unit: 0.0
Formation energy from the elements, eV/atom: -0.312

Cell: 3.565 3.565 18.404 Å, 90.00 90.00 90.00°
Fractional coordinates of all 10 atoms:
Al: 0.000 0.000 0.402
Al: 0.000 0.000 0.796
Ho: 0.500 0.500 0.696
Li: 0.000 0.000 0.000
Ho: 0.500 0.500 0.891
Ho: 0.500 0.500 0.109
Al: 0.000 0.000 0.598
Al: 0.000 0.000 0.204
Ho: 0.500 0.500 0.500
Ho: 0.500 0.500 0.304

---

# 8
Below is a relaxed LiHo8Al2 crystal, with properties calculated at the PBE level.

Properties
Total magnetic moment, μB per formula unit: 0.0
Formation energy from the elements, eV/atom: -0.088

Cell: 5.102 6.794 9.240 Å, 102.66 106.03 90.00°
Fractional coordinates of all 11 atoms:
Ho: 0.341 0.043 0.682
Ho: 0.023 0.762 0.045
Ho: 0.596 0.467 0.192
Li: 0.500 0.000 0.000
Ho: 0.803 0.714 0.606
Ho: 0.977 0.238 0.955
Al: 0.807 0.270 0.615
Ho: 0.659 0.957 0.318
Al: 0.193 0.730 0.385
Ho: 0.197 0.286 0.394
Ho: 0.404 0.533 0.808

---

# 9
Below is a relaxed LiHo12Al6 crystal, with properties calculated at the PBE level.

Properties
Total magnetic moment, μB per formula unit: 0.0
Formation energy from the elements, eV/atom: 0.017

Cell: 8.621 8.621 8.621 Å, 107.43 107.43 107.43°
Fractional coordinates of all 19 atoms:
Ho: 0.081 0.338 0.426
Ho: 0.574 0.919 0.662
Ho: 0.338 0.426 0.081
Al: 0.655 0.344 0.231
Ho: 0.667 0.969 0.114
Ho: 0.969 0.114 0.667
Al: 0.231 0.655 0.344
Ho: 0.426 0.081 0.338
Ho: 0.114 0.667 0.969
Al: 0.656 0.769 0.345
Li: 0.000 0.000 0.000
Ho: 0.333 0.031 0.886
Ho: 0.886 0.333 0.031
Al: 0.345 0.656 0.769
Al: 0.344 0.231 0.655
Al: 0.769 0.345 0.656
Ho: 0.919 0.662 0.574
Ho: 0.031 0.886 0.333
Ho: 0.662 0.574 0.919

---

# 10
Below is a relaxed LiHoAl6 crystal, with properties calculated at the PBE level.

Properties
Total magnetic moment, μB per formula unit: 0.0
Formation energy from the elements, eV/atom: -0.202

Cell: 4.595 6.062 6.062 Å, 119.85 90.00 90.00°
Fractional coordinates of all 8 atoms:
Al: 0.500 0.917 0.586
Al: 0.000 0.601 0.950
Al: 0.000 0.050 0.399
Li: 0.000 0.084 0.916
Ho: 0.500 0.416 0.584
Al: 0.500 0.414 0.083
Al: 0.000 0.599 0.401
Al: 0.500 0.918 0.082

---

# 11
Below is a relaxed LiHo4Al crystal, with properties calculated at the PBE level.

Properties
Total magnetic moment, μB per formula unit: 0.0
Formation energy from the elements, eV/atom: 0.240

Cell: 4.938 4.938 7.411 Å, 89.99 90.00 90.00°
Fractional coordinates of all 6 atoms:
Al: 0.501 0.497 0.998
Ho: 0.001 0.497 0.757
Ho: 0.501 0.997 0.757
Li: 0.001 0.997 0.498
Ho: 0.501 0.997 0.240
Ho: 0.001 0.497 0.240

---

# 12
Below is a relaxed LiHo2Al crystal, with properties calculated at the PBE level.

Properties
Total magnetic moment, μB per formula unit: 0.0
Formation energy from the elements, eV/atom: 0.085

Cell: 3.426 3.426 11.172 Å, 81.18 81.18 60.00°
Fractional coordinates of all 4 atoms:
Li: 0.000 0.000 0.000
Al: 0.500 0.500 0.500
Ho: 0.902 0.902 0.294
Ho: 0.098 0.098 0.706

---

# 13
Below is a relaxed LiHo3Al12 crystal, with properties calculated at the PBE level.

Properties
Total magnetic moment, μB per formula unit: 0.0
Formation energy from the elements, eV/atom: -0.332

Cell: 4.207 4.207 16.643 Å, 90.00 90.00 90.00°
Fractional coordinates of all 16 atoms:
Al: 0.500 0.000 0.888
Al: 0.000 0.500 0.629
Al: 0.000 0.500 0.888
Al: 0.500 0.500 0.000
Al: 0.000 0.500 0.371
Ho: 0.000 0.000 0.243
Al: 0.500 0.500 0.500
Al: 0.500 0.000 0.629
Al: 0.500 0.500 0.754
Ho: 0.000 0.000 0.757
Al: 0.500 0.000 0.371
Li: 0.000 0.000 0.000
Al: 0.500 0.500 0.246
Al: 0.000 0.500 0.112
Al: 0.500 0.000 0.112
Ho: 0.000 0.000 0.500

---

# 14
Below is a relaxed LiHo4Al12 crystal, with properties calculated at the PBE level.

Properties
Total magnetic moment, μB per formula unit: 0.0
Formation energy from the elements, eV/atom: -0.391

Cell: 7.503 7.503 7.503 Å, 109.47 109.47 109.47°
Fractional coordinates of all 17 atoms:
Al: 0.500 0.250 0.750
Al: 0.000 0.704 0.704
Li: 0.000 0.000 0.000
Al: 0.250 0.500 0.750
Al: 0.296 0.296 0.000
Ho: 0.000 0.500 0.000
Ho: 0.000 0.000 0.500
Al: 0.750 0.250 0.500
Ho: 0.500 0.000 0.000
Al: 0.250 0.750 0.500
Al: 0.704 0.704 0.000
Al: 0.500 0.750 0.250
Al: 0.000 0.296 0.296
Al: 0.750 0.500 0.250
Ho: 0.500 0.500 0.500
Al: 0.296 0.000 0.296
Al: 0.704 0.000 0.704

---

# 15
Below is a relaxed LiNdHoAl crystal, with properties calculated at the PBE level.

Properties
Total magnetic moment, μB per formula unit: 0.0
Formation energy from the elements, eV/atom: -0.197

Cell: 5.222 5.222 5.222 Å, 60.00 60.00 60.00°
Fractional coordinates of all 4 atoms:
Ho: 0.750 0.750 0.750
Li: 0.000 0.000 0.000
Al: 0.500 0.500 0.500
Nd: 0.250 0.250 0.250

---

# 16
Below is a relaxed LiHoAlOs crystal, with properties calculated at the PBE level.

Properties
Total magnetic moment, μB per formula unit: 0.0
Formation energy from the elements, eV/atom: -0.235

Cell: 4.603 4.603 4.603 Å, 60.00 60.00 60.00°
Fractional coordinates of all 4 atoms:
Al: 0.250 0.250 0.250
Ho: 0.750 0.750 0.750
Os: 0.500 0.500 0.500
Li: 0.000 0.000 0.000

---

# 17
Below is a relaxed Li2Ho2Al5Pd crystal, with properties calculated at the PBE level.

Properties
Total magnetic moment, μB per formula unit: 0.0
Formation energy from the elements, eV/atom: -0.361

Cell: 3.467 10.198 10.198 Å, 90.00 90.00 90.00°
Fractional coordinates of all 20 atoms:
Al: 0.500 0.500 0.000
Pd: 0.000 0.500 0.500
Al: 0.500 0.553 0.691
Ho: 0.000 0.323 0.823
Ho: 0.000 0.177 0.323
Al: 0.500 0.191 0.053
Li: 0.000 0.626 0.874
Pd: 0.000 0.000 0.000
Ho: 0.000 0.823 0.677
Li: 0.000 0.874 0.374
Ho: 0.000 0.677 0.177
Al: 0.500 0.309 0.553
Al: 0.500 0.691 0.447
Al: 0.500 0.053 0.809
Li: 0.000 0.126 0.626
Al: 0.500 0.447 0.309
Al: 0.500 0.947 0.191
Li: 0.000 0.374 0.126
Al: 0.500 0.000 0.500
Al: 0.500 0.809 0.947

---

# 18
Below is a relaxed LiPmHoAl crystal, with properties calculated at the PBE level.

Properties
Total magnetic moment, μB per formula unit: 0.0
Formation energy from the elements, eV/atom: -0.202

Cell: 5.204 5.204 5.204 Å, 60.00 60.00 60.00°
Fractional coordinates of all 4 atoms:
Ho: 0.750 0.750 0.750
Li: 0.000 0.000 0.000
Al: 0.500 0.500 0.500
Pm: 0.250 0.250 0.250

---

# 19
Below is a relaxed LiPrHoAl crystal, with properties calculated at the PBE level.

Properties
Total magnetic moment, μB per formula unit: 0.0
Formation energy from the elements, eV/atom: -0.193

Cell: 5.241 5.241 5.241 Å, 60.00 60.00 60.00°
Fractional coordinates of all 4 atoms:
Ho: 0.750 0.750 0.750
Al: 0.500 0.500 0.500
Pr: 0.250 0.250 0.250
Li: 0.000 0.000 0.000

---

# 20
Below is a relaxed LiHoAlPt2 crystal, with properties calculated at the PBE level.

Properties
Total magnetic moment, μB per formula unit: 0.0
Formation energy from the elements, eV/atom: -0.994

Cell: 3.784 3.784 6.785 Å, 106.19 106.19 90.00°
Fractional coordinates of all 5 atoms:
Pt: 0.389 0.389 0.778
Ho: 0.000 0.000 0.000
Al: 0.750 0.250 0.500
Li: 0.250 0.750 0.500
Pt: 0.611 0.611 0.222

---

# 21
Below is a relaxed LiHo2AlPt6 crystal, with properties calculated at the PBE level.

Properties
Total magnetic moment, μB per formula unit: 0.0
Formation energy from the elements, eV/atom: -0.881

Cell: 5.561 8.585 8.590 Å, 37.78 71.17 90.06°
Fractional coordinates of all 10 atoms:
Pt: 0.237 0.254 0.018
Li: 0.000 0.000 0.000
Ho: 0.200 0.799 0.599
Pt: 0.255 0.746 0.982
Al: 0.500 0.500 0.000
Pt: 0.745 0.762 0.510
Pt: 0.745 0.254 0.018
Ho: 0.800 0.201 0.401
Pt: 0.255 0.238 0.490
Pt: 0.763 0.746 0.982

---

# 22
Below is a relaxed LiHoAlPt crystal, with properties calculated at the PBE level.

Properties
Total magnetic moment, μB per formula unit: 0.0
Formation energy from the elements, eV/atom: -0.799

Cell: 4.652 4.652 4.652 Å, 60.00 60.00 60.00°
Fractional coordinates of all 4 atoms:
Ho: 0.250 0.250 0.250
Al: 0.750 0.750 0.750
Pt: 0.500 0.500 0.500
Li: 0.000 0.000 0.000

---

# 23
Below is a relaxed LiHoPuAl crystal, with properties calculated at the PBE level.

Properties
Total magnetic moment, μB per formula unit: 6.1
Formation energy from the elements, eV/atom: -0.006

Cell: 5.118 5.118 5.118 Å, 60.00 60.00 60.00°
Fractional coordinates of all 4 atoms:
Pu: 0.000 0.000 0.000
Ho: 0.500 0.500 0.500
Al: 0.250 0.250 0.250
Li: 0.750 0.750 0.750